ErMn5Ge3 after structural relaxation, computed with GGA-PBE.

```
data_ErMn5Ge3
_chemical_formula_sum 'Er4 Mn20 Ge12'
_symmetry_space_group_name_H-M 'C m c m'
_symmetry_Int_Tables_number 63
_symmetry_space_group_name_Hall '-C 2c 2'
_cell_length_a 3.884
_cell_length_b 12.359
_cell_length_c 11.450
_cell_angle_alpha 90.00
_cell_angle_beta 90.00
_cell_angle_gamma 90.00
loop_
_atom_site_label
_atom_site_type_symbol
_atom_site_fract_x
_atom_site_fract_y
_atom_site_fract_z
_atom_site_occupancy
Er1 Er 0.000 0.174 0.250 1
Mn1 Mn 0.000 0.000 0.000 1
Mn2 Mn 0.000 0.193 0.547 1
Mn3 Mn 0.000 0.428 0.135 1
Ge1 Ge 0.000 0.124 0.750 1
Ge2 Ge 0.000 0.385 0.572 1
```

Energy of formation from the pure elements   -0.1812 eV per atom

Cd2SnBi after structural relaxation, computed with GGA-PBE.

```
data_Cd2SnBi
_chemical_formula_sum 'Cd8 Sn4 Bi4'
_symmetry_space_group_name_H-M 'I -4 2 d'
_symmetry_Int_Tables_number 122
_symmetry_space_group_name_Hall 'I -4 2bw'
_cell_length_a 8.356
_cell_length_b 8.356
_cell_length_c 6.434
_cell_angle_alpha 90.00
_cell_angle_beta 90.00
_cell_angle_gamma 90.00
loop_
_atom_site_label
_atom_site_type_symbol
_atom_site_fract_x
_atom_site_fract_y
_atom_site_fract_z
_atom_site_occupancy
Cd1 Cd 0.245 0.250 0.125 1
Sn1 Sn 0.000 0.000 0.000 1
Bi1 Bi 0.000 0.000 0.500 1
```

Energy above the lowest structure with this stoichiometry   0.27 eV/f.u.
Energy of formation from the pure elements   0.1170 eV per atom

CoIr8Ru5 after structural relaxation, computed with GGA-PBE.

```
data_CoIr8Ru5
_chemical_formula_sum 'Co2 Ir16 Ru10'
_symmetry_space_group_name_H-M 'I -4'
_symmetry_Int_Tables_number 82
_cell_length_a 7.503
_cell_length_b 7.503
_cell_length_c 7.491
_cell_angle_alpha 90.00
_cell_angle_beta 90.00
_cell_angle_gamma 90.00
loop_
_symmetry_equiv_pos_as_xyz
'x,y,z'
'y,-x,-z'
'-x,-y,z'
'-y,x,-z'
'x+1/2,y+1/2,z+1/2'
'y+1/2,-x+1/2,-z+1/2'
'-x+1/2,-y+1/2,z+1/2'
'-y+1/2,x+1/2,-z+1/2'
loop_
_atom_site_label
_atom_site_type_symbol
_atom_site_fract_x
_atom_site_fract_y
_atom_site_fract_z
_atom_site_occupancy
Co1 Co 0.000 0.000 0.000 1
Ir1 Ir 0.067 0.158 0.667 1
Ir2 Ir 0.117 0.303 0.994 1
Ru1 Ru 0.000 0.500 0.750 1
Ru2 Ru 0.102 0.306 0.335 1
```

Energy of formation from the pure elements   0.4076 eV per atom

TaCu2Te after structural relaxation, computed with GGA-PBE.

```
data_TaCu2Te
_chemical_formula_sum 'Ta1 Cu2 Te1'
_symmetry_space_group_name_H-M 'P 4/m m m'
_symmetry_Int_Tables_number 123
_symmetry_space_group_name_Hall '-P 4 2'
_cell_length_a 4.077
_cell_length_b 4.077
_cell_length_c 3.942
_cell_angle_alpha 90.00
_cell_angle_beta 90.00
_cell_angle_gamma 90.00
loop_
_atom_site_label
_atom_site_type_symbol
_atom_site_fract_x
_atom_site_fract_y
_atom_site_fract_z
_atom_site_occupancy
Ta1 Ta 0.000 0.000 0.000 1
Cu1 Cu 0.000 0.500 0.500 1
Te1 Te 0.500 0.500 0.000 1
```

Formation energy (no corrections)   353 meV per atom

Quick rundown of density of states at the Fermi level, same order as above: 29.787; 11.428; 38.659; 2.657 states/eV/cell